GGA+U CoRhF3, relaxed; raw total energy = -20.9 eV/cell
1.0
4.2002 0.0000 0.0000
0.0000 4.2002 0.0000
0.0000 0.0000 4.2002
F Co Rh
3 1 1
direct
0.5000 0.0000 0.0000
0.0000 0.0000 0.5000
0.0000 0.5000 0.0000
0.5000 0.5000 0.5000
0.0000 0.0000 0.0000